Record 1
A geometry-optimized TbDy3HoTh structure, computed with PBE.

Structure (extended XYZ):
```
12
Lattice="-0.0860 -3.7323 3.9280 9.5323 -2.1699 -5.5913 2.3710 4.5468 4.3722" Properties=species:S:1:pos:R:3 pbc="T T T"
Dy 6.8383 -0.9484 2.9867
Dy 4.9229 2.1373 2.1386
Dy 6.8944 -3.4927 0.5704
Dy 9.5213 -2.7891 -2.4417
Dy 2.2960 1.4337 5.1506
Dy 4.9790 -0.4070 -0.2777
Th 1.6840 0.2440 0.2687
Th 10.1333 -1.5994 2.4403
Ho 3.2133 -3.1296 0.8348
Ho 8.6041 1.7742 1.8742
Tb 8.2757 -0.5060 -0.2997
Tb 3.5416 -0.8494 3.0086
```

Summary:
The calculation puts the magnetization at 0.000 μB per cell.

Record 2
A geometry-optimized Ho2ScRe structure, computed with PBE.

Structure (extended XYZ):
```
4
Lattice="-0.1346 -3.2356 -0.8833 0.7178 -2.3853 2.2501 -9.4870 -2.2153 3.1819" Properties=species:S:1:pos:R:3 pbc="T T T"
Ho -1.8205 -1.9447 1.0230
Ho -7.0833 -5.8914 3.5256
Sc -4.4519 -3.9181 2.2743
Re 0.0000 0.0000 0.0000
```

Summary:
The calculation puts the magnetization at 0.201 μB per cell.

| no. | energy of formation (eV/atom) |
| --- | --- |
| 1 | 0.197 |
| 2 | 0.338 |